No. 1
# CeMn17Os

A relaxed CeMn17Os crystal (PBE-GGA, Alexandria via LeMat-Bulk).

a b c (Å): 6.1829 6.1829 6.1829
angles (deg): 81.83 81.83 81.83
Closest atoms and distances in Å follow each position.
Positions (direct):
Ce 0.0000 0.0000 0.0000  19 Mn 2.95-3.19
Mn 0.0459 0.3672 0.6432  5 Mn 2.23-2.45
Mn 0.0459 0.6432 0.3672  5 Mn 2.23-2.45
Mn 0.2293 0.6926 0.6926  9 Mn 2.31-2.52
Mn 0.2543 0.2543 0.2543  4 Mn 2.27-2.48
Mn 0.3408 0.3408 0.8505  10 Mn 2.31-2.53
Mn 0.3408 0.8505 0.3408  10 Mn 2.31-2.53
Mn 0.3672 0.0459 0.6432  5 Mn 2.23-2.45
Mn 0.3672 0.6432 0.0459  5 Mn 2.23-2.45
Mn 0.4410 0.4410 0.4410  7 Mn 2.27-2.53
Mn 0.5181 0.9950 0.9950  9 Mn 2.37-2.65
Mn 0.6432 0.0459 0.3672  5 Mn 2.23-2.45
Mn 0.6432 0.3672 0.0459  5 Mn 2.23-2.45
Mn 0.6926 0.2293 0.6926  9 Mn 2.31-2.52
Mn 0.6926 0.6926 0.2293  9 Mn 2.31-2.52
Mn 0.8505 0.3408 0.3408  10 Mn 2.31-2.53
Mn 0.9950 0.5181 0.9950  9 Mn 2.37-2.65
Mn 0.9950 0.9950 0.5181  9 Mn 2.37-2.65
Os 0.6840 0.6840 0.6840  13 Mn 2.76-2.95

Results
Formation energy (eV per atom): 0.147
Calculated total energy (Ha/atom): -0.32931
N(E_F) (states/eV per atom): 1.346
Total magnetic moment (μB/f.u.): 2.54
SG: R3m


No. 2
# CeMnOs

A relaxed CeMnOs crystal (PBE-GGA, Alexandria via LeMat-Bulk).

a b c (Å): 5.2691 5.4161 7.4095
angles (deg): 90.00 90.00 90.00
Closest atoms and distances in Å follow each position.
Positions (direct):
Ce 0.0000 0.2500 0.1286  6 Os 3.07-3.11, 6 Mn 3.10-3.14, 4 Ce 3.19-3.31
Ce 0.0000 0.7500 0.8714  6 Os 3.07-3.11, 6 Mn 3.10-3.14, 4 Ce 3.19-3.31
Ce 0.5000 0.2500 0.3714  6 Os 3.07-3.11, 6 Mn 3.10-3.14, 4 Ce 3.19-3.31
Ce 0.5000 0.7500 0.6286  6 Os 3.07-3.11, 6 Mn 3.10-3.14, 4 Ce 3.19-3.31
Mn 0.2500 0.2500 0.7500  2 Mn 2.63, 4 Os 2.65
Mn 0.2500 0.7500 0.2500  2 Mn 2.63, 4 Os 2.65
Mn 0.7500 0.2500 0.7500  2 Mn 2.63, 4 Os 2.65
Mn 0.7500 0.7500 0.2500  2 Mn 2.63, 4 Os 2.65
Os 0.0000 0.0000 0.5000  4 Mn 2.65, 2 Os 2.71
Os 0.0000 0.5000 0.5000  4 Mn 2.65, 2 Os 2.71
Os 0.5000 0.0000 0.0000  4 Mn 2.65, 2 Os 2.71
Os 0.5000 0.5000 0.0000  4 Mn 2.65, 2 Os 2.71

Results
Formation energy (eV per atom): -0.157
Calculated total energy (Ha/atom): -0.32836
N(E_F) (states/eV per atom): 1.426
Total magnetic moment (μB/f.u.): 2.00
Relative energy among the computed polymorphs (meV per atom): 0
SG: Imma